The following is a DFT calculation (PBE) of a relaxed DyCdHgAu crystal.

Summary:
- E_tot: -44.78 eV for the cell shown
- Density: 12.65 g cm⁻³

Cell lengths 7.068, 7.068, 7.068 Å; angles 90.00, 90.00, 90.00 degrees
Space group F-43m (No. 216)
Asymmetric unit:
Dy 0.000 0.000 0.000 x4
Cd 0.000 0.000 0.500 x4
Hg 0.250 0.250 0.250 x4
Au 0.250 0.250 0.750 x4

---

The following is a DFT calculation (PBE) of a relaxed DyHoCdAu crystal.

Summary:
- E_tot: -15.74 eV for the cell shown
- Density: 10.79 g cm⁻³

Cell lengths 3.671, 3.671, 7.273 Å; angles 90.00, 90.00, 90.00 degrees
Space group P4mm (No. 99)
Asymmetric unit:
Dy 0.000 0.000 0.000 x1
Ho 0.000 0.000 0.527 x1
Cd 0.500 0.500 0.265 x1
Au 0.500 0.500 0.760 x1

---

The following is a DFT calculation (PBE) of a relaxed Dy2HoCdAu4 crystal.

Summary:
- E_tot: -102.26 eV for the cell shown
- Density: 12.89 g cm⁻³

Cell lengths 5.0021, 5.0021, 24.7927 Å; angles 90.00, 90.00, 120.00 degrees
Space group R-3m (No. 166, hexagonal axes)
Asymmetric unit:
Dy 0.0000 0.0000 0.2432 x6
Ho 0.0000 0.0000 0.0000 x3
Cd 0.0000 0.0000 0.5000 x3
Au 0.0000 0.0000 0.1202 x6
Au 0.0000 0.0000 0.3663 x6

---

The following is a DFT calculation (PBE) of a relaxed DyHoCdAu crystal.

Summary:
- E_tot: -62.50 eV for the cell shown
- Density: 10.81 g cm⁻³

Cell lengths 7.315, 7.315, 7.315 Å; angles 90.00, 90.00, 90.00 degrees
Space group F-43m (No. 216)
Asymmetric unit:
Dy 0.000 0.000 0.000 x4
Ho 0.000 0.000 0.500 x4
Cd 0.250 0.250 0.750 x4
Au 0.250 0.250 0.250 x4

---

The following is a DFT calculation (PBE) of a relaxed DyCdInAu crystal.

Summary:
- E_tot: -53.68 eV for the cell shown
- Density: 10.88 g cm⁻³

Cell lengths 7.102, 7.102, 7.102 Å; angles 90.00, 90.00, 90.00 degrees
Space group F-43m (No. 216)
Asymmetric unit:
Dy 0.000 0.000 0.000 x4
Cd 0.250 0.250 0.250 x4
In 0.000 0.000 0.500 x4
Au 0.250 0.250 0.750 x4

---

The following is a DFT calculation (PBE) of a relaxed DyCdIrAu crystal.

Summary:
- E_tot: -77.67 eV for the cell shown
- Density: 13.85 g cm⁻³

Cell lengths 6.830, 6.830, 6.830 Å; angles 90.00, 90.00, 90.00 degrees
Space group F-43m (No. 216)
Asymmetric unit:
Dy 0.000 0.000 0.000 x4
Cd 0.000 0.000 0.500 x4
Ir 0.250 0.250 0.250 x4
Au 0.250 0.250 0.750 x4

---

The following is a DFT calculation (PBE) of a relaxed Dy4CdIr2Au crystal.

Summary:
- E_tot: -137.60 eV for the cell shown
- Density: 12.61 g cm⁻³

Cell lengths 5.0052, 5.0052, 24.4643 Å; angles 90.00, 90.00, 120.00 degrees
Space group R-3m (No. 166, hexagonal axes)
Asymmetric unit:
Dy 0.0000 0.0000 0.1226 x6
Dy 0.0000 0.0000 0.3725 x6
Cd 0.0000 0.0000 0.5000 x3
Ir 0.0000 0.0000 0.2464 x6
Au 0.0000 0.0000 0.0000 x3

---

The following is a DFT calculation (PBE) of a relaxed Li2DyCdAu2 crystal.

Summary:
- E_tot: -19.22 eV for the cell shown
- Density: 9.73 g cm⁻³

Cell lengths 4.5516, 4.5516, 6.4964 Å; angles 90.00, 90.00, 120.00 degrees
Space group P-3m1 (No. 164)
Asymmetric unit:
Li 0.3333 0.6667 0.1675 x2
Dy 0.0000 0.0000 0.5000 x1
Cd 0.0000 0.0000 0.0000 x1
Au 0.3333 0.6667 0.7440 x2

---

The following is a DFT calculation (PBE) of a relaxed LiDy2CdAu4 crystal.

Summary:
- E_tot: -92.11 eV for the cell shown
- Density: 12.32 g cm⁻³

Cell lengths 4.9173, 4.9173, 23.8007 Å; angles 90.00, 90.00, 120.00 degrees
Space group R-3m (No. 166, hexagonal axes)
Asymmetric unit:
Li 0.0000 0.0000 0.0000 x3
Dy 0.0000 0.0000 0.2481 x6
Cd 0.0000 0.0000 0.5000 x3
Au 0.0000 0.0000 0.1196 x6
Au 0.0000 0.0000 0.3717 x6

---

The following is a DFT calculation (PBE) of a relaxed LiDyCdAu crystal.

Summary:
- E_tot: -50.54 eV for the cell shown
- Density: 9.71 g cm⁻³

Cell lengths 6.893, 6.893, 6.893 Å; angles 90.00, 90.00, 90.00 degrees
Space group F-43m (No. 216)
Asymmetric unit:
Li 0.000 0.000 0.000 x4
Dy 0.250 0.250 0.250 x4
Cd 0.250 0.250 0.750 x4
Au 0.000 0.000 0.500 x4

---

The following is a DFT calculation (PBE) of a relaxed DyLuCdAu crystal.

Summary:
- E_tot: -62.33 eV for the cell shown
- Density: 11.23 g cm⁻³

Cell lengths 7.260, 7.260, 7.260 Å; angles 90.00, 90.00, 90.00 degrees
Space group F-43m (No. 216)
Asymmetric unit:
Dy 0.000 0.000 0.000 x4
Lu 0.000 0.000 0.500 x4
Cd 0.250 0.250 0.250 x4
Au 0.250 0.250 0.750 x4

---

The following is a DFT calculation (PBE) of a relaxed DyMg2CdAu4 crystal.

Summary:
- E_tot: -79.16 eV for the cell shown
- Density: 11.45 g cm⁻³

Cell lengths 4.7469, 4.7469, 24.7846 Å; angles 90.00, 90.00, 120.00 degrees
Space group R-3m (No. 166, hexagonal axes)
Asymmetric unit:
Dy 0.0000 0.0000 0.0000 x3
Mg 0.0000 0.0000 0.2439 x6
Cd 0.0000 0.0000 0.5000 x3
Au 0.0000 0.0000 0.1212 x6
Au 0.0000 0.0000 0.3836 x6